(1)
First-principles (GGA-PBEsol) data for crystalline AlIrF2 at its relaxed geometry, as listed in Alexandria via LeMat-Bulk.

Cell: 9.616 9.616 9.616 Å, 15.97 15.97 15.97°
Fractional positions:
Al (0.000, 0.000, 0.000)
Ir (0.500, 0.500, 0.500)
F (0.379, 0.379, 0.379)
F (0.621, 0.621, 0.621)

The crystal system is trigonal. Its formation energy without anion corrections is -0.996 eV per atom. The calculated total energy is -21.75 eV/f.u. The size of the total moment is 0.40 μB per cell. As for the density: 7.28 g/cm³.

(2)
First-principles (GGA-PBEsol) data for crystalline CuHgBr at its relaxed geometry, as listed in Alexandria via LeMat-Bulk.

Cell: 6.722 6.277 3.538 Å, 81.29 67.37 31.35°
Fractional positions:
Cu (0.000, 0.000, 0.000)
Hg (0.655, 0.655, 0.345)
Br (0.370, 0.370, 0.630)

The crystal system is orthorhombic. Its formation energy without anion corrections is 0.051 eV per atom. The calculated total energy is -6.62 eV/f.u. The size of the total moment is 0.00 μB per cell. As for the density: 8.58 g/cm³.

(3)
First-principles (GGA-PBEsol) data for crystalline Ir3Ru at its relaxed geometry, as listed in Alexandria via LeMat-Bulk.

Cell: 2.714 2.714 8.717 Å, 90.00 90.00 120.00°
Fractional positions:
Ir (0.000, 0.000, 0.000)
Ir (0.333, 0.667, 0.255)
Ir (0.333, 0.667, 0.745)
Ru (0.000, 0.000, 0.500)

The crystal system is hexagonal. The calculated total energy is -39.56 eV/f.u. As for the formation enthalpy at 0 K: 0.019 eV per atom. The size of the total moment is 0.00 μB per cell. As for the density: 20.23 g/cm³.